1.
AsBr2 (GGA-PBE, optimized geometry); formation energy without anion corrections = 0.18 eV per atom; total magnetization = 0.00 μB/cell; polymorph energy (0 for the lowest one) = 0.460 eV/atom
1.0
4.8327 0.0000 0.0000
0.0000 4.8327 0.0000
0.0000 0.0000 3.4319
As Br
1 2
direct
0.0000 0.0000 0.0000 As
0.0000 0.5000 0.5000 Br
0.5000 0.0000 0.5000 Br

***

2.
Cs2NpHgS4 (GGA-PBE, optimized geometry); formation energy without anion corrections = -0.89 eV per atom; total magnetization = 6.00 μB/cell
1.0
0.0000 7.4817 12.7475
3.2430 0.0000 12.7475
3.2430 7.4817 0.0000
Cs Np Hg S
4 2 2 8
direct
0.0549 0.0549 0.6951 Cs
0.3049 0.3049 0.9451 Cs
0.6951 0.6951 0.0549 Cs
0.9451 0.9451 0.3049 Cs
0.1250 0.1250 0.1250 Np
0.8750 0.8750 0.8750 Np
0.3750 0.3750 0.3750 Hg
0.6250 0.6250 0.6250 Hg
0.0374 0.3146 0.4170 S
0.2691 0.5830 0.6854 S
0.3146 0.0374 0.7309 S
0.4170 0.7309 0.0374 S
0.5830 0.2691 0.9626 S
0.6854 0.9626 0.2691 S
0.7309 0.4170 0.3146 S
0.9626 0.6854 0.5830 S